{"formula": "DyScGaAu", "functional": "PBE", "state": "optimized geometry", "space_group": "No. 99", "magnetic_moment_mub_per_fu": 0.00, "polymorph_energy_mev_per_atom": 0, "dft_energy_ev_per_atom": -5.02, "ef_mev_per_atom": -712.6, "lattice_angstrom": [[3.454, 0.000, 0.000], [0.000, 3.454, 0.000], [0.000, 0.000, 7.121]], "species": ["Dy", "Sc", "Ga", "Au"], "fractional_positions": [[0.000, 0.000, 0.000], [0.000, 0.000, 0.497], [0.500, 0.500, 0.730], [0.500, 0.500, 0.280]]}


{"formula": "DySc2GaAu4", "functional": "PBE", "state": "optimized geometry", "space_group": "No. 166", "magnetic_moment_mub_per_fu": 0.00, "dft_energy_ev_per_atom": -4.88, "ef_mev_per_atom": -702.7, "lattice_angstrom": [[2.373, 1.370, 8.286], [-2.373, 1.370, 8.286], [0.000, -2.740, 8.286]], "species": ["Dy", "Sc", "Sc", "Ga", "Au", "Au", "Au", "Au"], "fractional_positions": [[0.000, 0.000, 0.000], [0.240, 0.240, 0.240], [0.760, 0.760, 0.760], [0.500, 0.500, 0.500], [0.121, 0.121, 0.121], [0.387, 0.387, 0.387], [0.613, 0.613, 0.613], [0.879, 0.879, 0.879]]}